ScZnCl2: optimized geometry, PBE.

**Energy above the lowest structure with this stoichiometry**: 0.547 eV/atom
**Crystal system**: trigonal
**Total DFT energy (no corrections)**: -3.4601 eV/atom
**Total magnetic moment**: 0.2 μB/f.u.

Lattice parameters (Å, degrees): 10.683 10.683 10.683 19.76 19.76 19.76
Fractional coordinates of all 4 atoms:
Sc1 0.000 0.000 0.000
Zn1 0.500 0.500 0.500
Cl1 0.927 0.927 0.927
Cl2 0.073 0.073 0.073